Version i
A geometry-optimized SnMoS2Cl structure. Source: Alexandria, functional PBE.

Structure (POSCAR):
```
SnMoS2Cl
1.0
4.693 0.000 0.000
0.000 4.693 0.000
0.000 0.000 5.012
Sn Mo S Cl
1 1 2 1
direct
0.000 0.000 0.000 Sn
0.500 0.500 0.500 Mo
0.000 0.500 0.500 S
0.500 0.000 0.500 S
0.500 0.500 0.000 Cl
```

- Symmetry: P4/mmm (123)
- Density of states at the Fermi level: 2.62 states/eV per cell

=====

Version ii
A geometry-optimized SnMoS2Cl structure. Source: Alexandria, functional PBE.

Structure (POSCAR):
```
SnMoS2Cl
1.0
5.055 0.000 0.000
0.000 5.055 0.000
0.000 0.000 5.026
Sn Mo S Cl
1 1 2 1
direct
0.000 0.000 0.000 Sn
0.500 0.500 0.500 Mo
0.000 0.500 0.000 S
0.500 0.000 0.000 S
0.000 0.000 0.500 Cl
```

- Symmetry: P4/mmm (123)
- Density of states at the Fermi level: 3.76 states/eV per cell

=====

Most favorable first, least favorable last: version i, version ii

=====

Version i
A geometry-optimized TaMoSCl2 structure. Source: Alexandria, functional PBE.

Structure (POSCAR):
```
TaMoSCl2
1.0
4.780 0.000 0.000
0.000 4.780 0.000
0.000 0.000 4.812
Ta Mo S Cl
1 1 1 2
direct
0.000 0.000 0.000 Ta
0.500 0.500 0.500 Mo
0.500 0.500 0.000 S
0.000 0.500 0.500 Cl
0.500 0.000 0.500 Cl
```

- Symmetry: P4/mmm (123)
- Density of states at the Fermi level: 6.23 states/eV per cell

=====

Version ii
A geometry-optimized TaMoSCl2 structure. Source: Alexandria, functional PBE.

Structure (POSCAR):
```
TaMoSCl2
1.0
4.859 0.000 0.000
0.000 4.859 0.000
0.000 0.000 4.837
Ta Mo S Cl
1 1 1 2
direct
0.000 0.000 0.000 Ta
0.500 0.500 0.500 Mo
0.000 0.000 0.500 S
0.000 0.500 0.000 Cl
0.500 0.000 0.000 Cl
```

- Symmetry: P4/mmm (123)
- Density of states at the Fermi level: 2.69 states/eV per cell

=====

Most favorable first, least favorable last: version ii, version i

=====

Version i
A geometry-optimized TcMoS2Cl structure. Source: Alexandria, functional PBE.

Structure (POSCAR):
```
TcMoS2Cl
1.0
4.654 0.000 0.000
0.000 4.654 0.000
0.000 0.000 4.947
Tc Mo S Cl
1 1 2 1
direct
0.000 0.000 0.000 Tc
0.500 0.500 0.500 Mo
0.000 0.500 0.500 S
0.500 0.000 0.500 S
0.500 0.500 0.000 Cl
```

- Symmetry: P4/mmm (123)
- Density of states at the Fermi level: 3.68 states/eV per cell

=====

Version ii
A geometry-optimized TcMoS2Cl structure. Source: Alexandria, functional PBE.

Structure (POSCAR):
```
TcMoS2Cl
1.0
4.588 0.000 0.000
0.000 4.588 0.000
0.000 0.000 4.993
Tc Mo S Cl
1 1 2 1
direct
0.000 0.000 0.000 Tc
0.500 0.500 0.500 Mo
0.000 0.500 0.000 S
0.500 0.000 0.000 S
0.000 0.000 0.500 Cl
```

- Symmetry: P4/mmm (123)
- Density of states at the Fermi level: 4.36 states/eV per cell

=====

Most favorable first, least favorable last: version i, version ii

=====

Version i
A geometry-optimized TcMoSCl2 structure. Source: Alexandria, functional PBE.

Structure (POSCAR):
```
TcMoSCl2
1.0
4.924 0.000 0.000
0.000 4.924 0.000
0.000 0.000 4.657
Tc Mo S Cl
1 1 1 2
direct
0.000 0.000 0.000 Tc
0.500 0.500 0.500 Mo
0.500 0.500 0.000 S
0.000 0.500 0.500 Cl
0.500 0.000 0.500 Cl
```

- Symmetry: P4/mmm (123)
- Density of states at the Fermi level: 5.20 states/eV per cell

=====

Version ii
A geometry-optimized TcMoSCl2 structure. Source: Alexandria, functional PBE.

Structure (POSCAR):
```
TcMoSCl2
1.0
4.962 0.000 0.000
0.000 4.962 0.000
0.000 0.000 4.481
Tc Mo S Cl
1 1 1 2
direct
0.000 0.000 0.000 Tc
0.500 0.500 0.500 Mo
0.000 0.000 0.500 S
0.000 0.500 0.000 Cl
0.500 0.000 0.000 Cl
```

- Symmetry: P4/mmm (123)
- Density of states at the Fermi level: 4.21 states/eV per cell

=====

Most favorable first, least favorable last: version i, version ii

=====

Version i
A geometry-optimized TeMoS2Cl structure. Source: Alexandria, functional PBE.

Structure (POSCAR):
```
TeMoS2Cl
1.0
5.140 0.000 0.000
0.000 5.140 0.000
0.000 0.000 5.114
Te Mo S Cl
1 1 2 1
direct
0.000 0.000 0.000 Te
0.500 0.500 0.500 Mo
0.000 0.500 0.000 S
0.500 0.000 0.000 S
0.000 0.000 0.500 Cl
```

- Symmetry: P4/mmm (123)
- Density of states at the Fermi level: 3.79 states/eV per cell

=====

Version ii
A geometry-optimized TeMoS2Cl structure. Source: Alexandria, functional PBE.

Structure (POSCAR):
```
TeMoS2Cl
1.0
4.748 0.000 0.000
0.000 4.748 0.000
0.000 0.000 4.766
Te Mo S Cl
1 1 2 1
direct
0.000 0.000 0.000 Te
0.500 0.500 0.500 Mo
0.000 0.500 0.500 S
0.500 0.000 0.500 S
0.500 0.500 0.000 Cl
```

- Symmetry: P4/mmm (123)
- Density of states at the Fermi level: 6.32 states/eV per cell

=====

Most favorable first, least favorable last: version ii, version i

=====

Version i
A geometry-optimized TiMoS2Cl structure. Source: Alexandria, functional PBE.

Structure (POSCAR):
```
TiMoS2Cl
1.0
4.672 0.000 0.000
0.000 4.672 0.000
0.000 0.000 4.844
Ti Mo S Cl
1 1 2 1
direct
0.000 0.000 0.000 Ti
0.500 0.500 0.500 Mo
0.000 0.500 0.500 S
0.500 0.000 0.500 S
0.500 0.500 0.000 Cl
```

- Symmetry: P4/mmm (123)
- Density of states at the Fermi level: 7.92 states/eV per cell

=====

Version ii
A geometry-optimized TiMoS2Cl structure. Source: Alexandria, functional PBE.

Structure (POSCAR):
```
TiMoS2Cl
1.0
4.771 0.000 0.000
0.000 4.771 0.000
0.000 0.000 4.655
Ti Mo S Cl
1 1 2 1
direct
0.000 0.000 0.000 Ti
0.500 0.500 0.500 Mo
0.000 0.500 0.000 S
0.500 0.000 0.000 S
0.000 0.000 0.500 Cl
```

- Symmetry: P4/mmm (123)
- Density of states at the Fermi level: 2.65 states/eV per cell

=====

Most favorable first, least favorable last: version ii, version i